## LiCaSnPb (PBE-GGA)

Data for an optimized crystal structure of LiCaSnPb.

D(E_F): 2.623 states/eV/cell
density: 6.00 Mg/m³
total magnetic moment: 0.00 μB per formula unit

Cell lengths 4.562, 4.802, 4.711 Å; angles 90.00, 90.00, 90.00 degrees
Atoms (fractional coordinates):
Sn  0.000  0.000  0.000
Li  0.500  0.500  0.000
Pb  0.000  0.500  0.500
Ca  0.500  0.000  0.500

## NiAgW2 (PBE-GGA)

Data for an optimized crystal structure of NiAgW2.

D(E_F): 4.465 states/eV/cell
density: 14.44 Mg/m³
excess energy over the best structure of this formula in the dataset: 145 meV per atom
total magnetic moment: 0.00 μB per formula unit

Cell lengths 3.228, 3.228, 5.899 Å; angles 90.00, 90.00, 90.00 degrees
Atoms (fractional coordinates):
W  0.000  0.000  0.991
W  0.500  0.500  0.228
Ni  0.500  0.500  0.761
Ag  0.000  0.000  0.521

## LaOs2 (PBE-GGA)

Data for an optimized crystal structure of LaOs2.

D(E_F): 9.050 states/eV/cell
density: 15.12 Mg/m³
total magnetic moment: 0.00 μB per formula unit

Cell lengths 4.684, 4.684, 6.003 Å; angles 90.00, 90.00, 120.00 degrees
Atoms (fractional coordinates):
Os  0.000  0.000  0.500
Os  0.000  0.000  0.000
Os  0.333  0.667  0.750
Os  0.667  0.333  0.250
La  0.333  0.667  0.250
La  0.667  0.333  0.750

## SmCdCuAg (PBE-GGA)

Data for an optimized crystal structure of SmCdCuAg.

D(E_F): 4.430 states/eV/cell
density: 8.63 Mg/m³
total magnetic moment: 0.00 μB per formula unit

Cell lengths 4.907, 4.907, 4.907 Å; angles 60.00, 60.00, 60.00 degrees
Atoms (fractional coordinates):
Cd  0.750  0.750  0.750
Cu  0.000  0.000  0.000
Ag  0.500  0.500  0.500
Sm  0.250  0.250  0.250

| no. | DFT total energy (eV per cell) |
| --- | --- |
| 1 | -13.30 |
| 2 | -32.94 |
| 3 | -49.38 |
| 4 | -13.38 |